A plane-wave DFT calculation with PBE was carried out for an optimized crystal structure of Zr2Pb2C.

Cell: 5.8975 3.4106 10.9946 Å, 90.00 100.25 90.00°
With the nearest neighbours (Å) after each atom.
Positions (direct):
Zr1 0.2049 0.0000 0.1150  3 C 2.33
Zr2 0.2951 0.5000 0.8850  3 C 2.33
Zr3 0.7049 0.5000 0.1150  3 C 2.33
Zr4 0.7951 0.0000 0.8850  3 C 2.33
Pb1 0.0523 0.0000 0.6483  7 Pb 3.21-3.41, 3 Zr 3.23-3.24
Pb2 0.4477 0.5000 0.3517  7 Pb 3.21-3.41, 3 Zr 3.23-3.24
Pb3 0.5523 0.5000 0.6483  7 Pb 3.21-3.41, 3 Zr 3.23-3.24
Pb4 0.9477 0.0000 0.3517  7 Pb 3.21-3.41, 3 Zr 3.23-3.24
C1 0.0000 0.5000 0.0000  6 Zr 2.33
C2 0.5000 0.0000 0.0000  6 Zr 2.33

Calculated values
SG ... C2/m (12)
Final energy ... -7.18 eV per atom
Crystal system ... monoclinic
Total magnetization ... 0.00 μB/cell

A plane-wave DFT calculation with PBE was carried out for an optimized crystal structure of CrCu2W.

Cell: 3.5282 3.5803 8.2183 Å, 90.00 90.00 90.00°
With the nearest neighbours (Å) after each atom.
Positions (direct):
Cr1 0.0000 0.0000 0.0000  4 W 2.51, 8 Cu 2.71-2.73
Cr2 0.5000 0.5000 0.5000  4 W 2.51, 8 Cu 2.71-2.73
Cu1 0.0000 0.5000 0.2503  4 Cu 2.51, 4 Cr 2.71-2.73, 4 W 2.71-2.72
Cu2 0.0000 0.5000 0.7497  4 Cu 2.51, 4 Cr 2.71-2.73, 4 W 2.71-2.72
Cu3 0.5000 0.0000 0.2497  4 Cu 2.51, 4 Cr 2.71-2.73, 4 W 2.71-2.72
Cu4 0.5000 0.0000 0.7503  4 Cu 2.51, 4 Cr 2.71-2.73, 4 W 2.71-2.72
W1 0.0000 0.0000 0.5000  4 Cr 2.51, 8 Cu 2.71-2.72
W2 0.5000 0.5000 0.0000  4 Cr 2.51, 8 Cu 2.71-2.72

Calculated values
SG ... Immm (71)
Energy relative to the lowest polymorph listed for this composition ... 73 meV/atom
Crystal system ... orthorhombic
Total magnetization ... 1.48 μB/cell

A plane-wave DFT calculation with PBE was carried out for an optimized crystal structure of LiAgAuF6.

Cell: 4.9839 5.3021 5.3084 Å, 110.97 90.41 90.41°
With the nearest neighbours (Å) after each atom.
Positions (direct):
Li1 0.0000 0.0000 0.0000  4 F 1.92-2.08
Ag1 0.5005 0.6899 0.3087  4 F 2.09-2.25
Au1 0.0007 0.3512 0.6476  4 F 1.98-2.01
F1 0.2180 0.3123 0.9446  1 Au 1.98, 1 Li 2.08
F2 0.2267 0.6598 0.6325  1 Au 2.01
F3 0.2489 0.9888 0.2730  1 Li 1.92, 1 Ag 2.09
F4 0.7522 0.7256 0.0101  1 Li 1.92, 1 Ag 2.09
F5 0.7750 0.3660 0.3388  1 Au 2.01
F6 0.7829 0.0543 0.6866  1 Au 1.98, 1 Li 2.08

Calculated values
SG ... P1 (1)
Formation energy (no corrections) ... -1.461 eV per atom
Crystal system ... triclinic
Total magnetization ... 1.00 μB/cell

A plane-wave DFT calculation with PBE was carried out for an optimized crystal structure of ScVS2.

Cell: 6.1696 6.1696 6.1696 Å, 90.00 90.00 90.00°
With the nearest neighbours (Å) after each atom.
Positions (direct):
Sc1 0.0000 0.0000 0.0000  8 S 2.67
Sc2 0.0000 0.5000 0.5000  8 S 2.67
Sc3 0.5000 0.0000 0.5000  8 S 2.67
Sc4 0.5000 0.5000 0.0000  8 S 2.67
V1 0.0000 0.0000 0.5000  8 S 2.67
V2 0.0000 0.5000 0.0000  8 S 2.67
V3 0.5000 0.0000 0.0000  8 S 2.67
V4 0.5000 0.5000 0.5000  8 S 2.67
S1 0.2500 0.2500 0.2500  4 V 2.67, 4 Sc 2.67
S2 0.2500 0.2500 0.7500  4 Sc 2.67, 4 V 2.67
S3 0.2500 0.7500 0.2500  4 Sc 2.67, 4 V 2.67
S4 0.2500 0.7500 0.7500  4 Sc 2.67, 4 V 2.67
S5 0.7500 0.2500 0.2500  4 Sc 2.67, 4 V 2.67
S6 0.7500 0.2500 0.7500  4 Sc 2.67, 4 V 2.67
S7 0.7500 0.7500 0.2500  4 Sc 2.67, 4 V 2.67
S8 0.7500 0.7500 0.7500  4 Sc 2.67, 4 V 2.67

Calculated values
SG ... Fm-3m (225)
Formation energy (no corrections) ... -0.996 eV per atom
Energy relative to the lowest polymorph listed for this composition ... 49 meV/atom
Crystal system ... cubic
Total magnetization ... 0.00 μB/cell

A plane-wave DFT calculation with PBE was carried out for an optimized crystal structure of ZrAl2Cu2.

Cell: 7.9288 4.3730 4.8745 Å, 90.00 109.83 90.00°
With the nearest neighbours (Å) after each atom.
Positions (direct):
Zr1 0.0000 0.0000 0.0000  6 Cu 2.81-2.86, 6 Al 2.96-3.04
Zr2 0.5000 0.5000 0.0000  6 Cu 2.81-2.86, 6 Al 2.96-3.04
Al1 0.2348 0.5000 0.3285  5 Cu 2.53-2.68, 2 Al 2.71
Al2 0.2652 0.0000 0.6715  5 Cu 2.53-2.68, 2 Al 2.71
Al3 0.7348 0.0000 0.3285  5 Cu 2.53-2.68, 2 Al 2.71
Al4 0.7652 0.5000 0.6715  5 Cu 2.53-2.68, 2 Al 2.71
Cu1 0.1168 0.5000 0.7491  1 Cu 2.51, 5 Al 2.53-2.68
Cu2 0.3832 0.0000 0.2509  1 Cu 2.51, 5 Al 2.53-2.68
Cu3 0.6168 0.0000 0.7491  1 Cu 2.51, 5 Al 2.53-2.68
Cu4 0.8832 0.5000 0.2509  1 Cu 2.51, 5 Al 2.53-2.68

Calculated values
SG ... C2/m (12)
Energy relative to the lowest polymorph listed for this composition ... 80 meV/atom
Crystal system ... monoclinic
Total magnetization ... 0.00 μB/cell

A plane-wave DFT calculation with PBE was carried out for an optimized crystal structure of Li2Sn3Hg4.

Cell: 4.6539 4.8475 10.7694 Å, 85.31 89.20 62.46°
With the nearest neighbours (Å) after each atom.
Positions (direct):
Li1 0.1631 0.1720 0.2162  6 Hg 2.93-3.00
Li2 0.8369 0.8280 0.7838  6 Hg 2.93-3.00
Sn1 0.1692 0.1639 0.5702  4 Hg 3.07-3.33, 3 Sn 3.15-3.17
Sn2 0.5000 0.5000 0.0000  8 Hg 3.05-3.31
Sn3 0.8308 0.8361 0.4298  4 Hg 3.07-3.33, 3 Sn 3.15-3.17
Hg1 0.1641 0.1666 0.8789  3 Li 2.94-3.00, 3 Sn 3.05-3.08, 1 Hg 3.28
Hg2 0.4953 0.5058 0.3067  3 Li 2.93-2.96, 3 Sn 3.07-3.09, 1 Hg 3.28
Hg3 0.5047 0.4942 0.6933  3 Li 2.93-2.96, 3 Sn 3.07-3.09, 1 Hg 3.28
Hg4 0.8359 0.8334 0.1211  3 Li 2.94-3.00, 3 Sn 3.05-3.08, 1 Hg 3.28

Calculated values
SG ... P-1 (2)
Final energy ... -2.02 eV per atom
Crystal system ... triclinic
Total magnetization ... 0.00 μB/cell

A plane-wave DFT calculation with PBE was carried out for an optimized crystal structure of ZrTcRu2.

Cell: 5.8875 7.1970 2.9952 Å, 90.00 90.00 90.00°
With the nearest neighbours (Å) after each atom.
Positions (direct):
Zr1 0.0000 0.0000 0.0000  8 Ru 2.77, 2 Tc 2.94, 2 Zr 3.00
Zr2 0.5000 0.5000 0.0000  8 Ru 2.77, 2 Tc 2.94, 2 Zr 3.00
Tc1 0.0000 0.5000 0.0000  8 Ru 2.77, 2 Zr 2.94, 2 Tc 3.00
Tc2 0.5000 0.0000 0.0000  8 Ru 2.77, 2 Zr 2.94, 2 Tc 3.00
Ru1 0.2500 0.2500 0.5000  4 Zr 2.77, 4 Tc 2.77, 4 Ru 2.94-3.00
Ru2 0.2500 0.7500 0.5000  4 Zr 2.77, 4 Tc 2.77, 4 Ru 2.94-3.00
Ru3 0.7500 0.2500 0.5000  4 Zr 2.77, 4 Tc 2.77, 4 Ru 2.94-3.00
Ru4 0.7500 0.7500 0.5000  4 Tc 2.77, 4 Zr 2.77, 4 Ru 2.94-3.00

Calculated values
SG ... Cmmm (65)
Energy relative to the lowest polymorph listed for this composition ... 3 meV/atom
Crystal system ... orthorhombic
Total magnetization ... 0.00 μB/cell

A plane-wave DFT calculation with PBE was carried out for an optimized crystal structure of Cs2K4BeSb2.

Cell: 8.8201 8.8201 6.5110 Å, 103.43 103.43 59.60°
With the nearest neighbours (Å) after each atom.
Positions (direct):
Cs1 0.1506 0.1506 0.2541  3 Sb 3.93-4.39, 6 K 4.05-4.13
Cs2 0.8494 0.8494 0.7459  3 Sb 3.93-4.39, 6 K 4.05-4.13
K1 0.1610 0.6089 0.2765  1 Be 3.45, 1 Sb 3.75
K2 0.3911 0.8390 0.7235  1 Be 3.45, 1 Sb 3.75
K3 0.6089 0.1610 0.2765  1 Be 3.45, 1 Sb 3.75
K4 0.8390 0.3911 0.7235  1 Be 3.45, 1 Sb 3.75
Be1 0.5000 0.5000 0.0000  2 Sb 2.33
Sb1 0.3543 0.3543 0.7712  1 Be 2.33
Sb2 0.6457 0.6457 0.2288  1 Be 2.33

Calculated values
SG ... C2/m (12)
Formation energy (no corrections) ... -0.164 eV per atom
Crystal system ... monoclinic
Total magnetization ... 0.00 μB/cell

A plane-wave DFT calculation with PBE was carried out for an optimized crystal structure of La2PrDy8.

Cell: 9.5065 9.5065 8.0463 Å, 104.76 104.76 31.12°
With the nearest neighbours (Å) after each atom.
Positions (direct):
La1 0.2275 0.2275 0.1369  10 Dy 3.59-3.64, 2 La 3.61
La2 0.7725 0.7725 0.8631  10 Dy 3.59-3.64, 2 La 3.61
Pr1 0.5000 0.5000 0.5000  12 Dy 3.58-3.60
Dy1 0.0438 0.0438 0.2261  9 Dy 3.56-3.61, 2 Pr 3.60, 1 La 3.62
Dy2 0.1355 0.1355 0.6773  7 Dy 3.57-3.64, 2 Pr 3.58, 3 La 3.61-3.64
Dy3 0.3188 0.3188 0.5937  8 Dy 3.57-3.62, 3 La 3.59-3.61, 1 Pr 3.59
Dy4 0.4106 0.4106 0.0446  8 Dy 3.53-3.64, 1 Pr 3.60, 3 La 3.62
Dy5 0.5894 0.5894 0.9554  8 Dy 3.53-3.64, 1 Pr 3.60, 3 La 3.62
Dy6 0.6812 0.6812 0.4063  8 Dy 3.57-3.62, 3 La 3.59-3.61, 1 Pr 3.59
Dy7 0.8645 0.8645 0.3227  7 Dy 3.57-3.64, 2 Pr 3.58, 3 La 3.61-3.64
Dy8 0.9562 0.9562 0.7739  9 Dy 3.56-3.61, 2 Pr 3.60, 1 La 3.62

Calculated values
SG ... C2/m (12)
Energy relative to the lowest polymorph listed for this composition ... 0 meV/atom
Crystal system ... monoclinic
Total magnetization ... 0.00 μB/cell

A plane-wave DFT calculation with PBE was carried out for an optimized crystal structure of TeRh2Se.

Cell: 4.9417 4.9417 14.2565 Å, 90.00 90.00 90.00°
With the nearest neighbours (Å) after each atom.
Positions (direct):
Te1 0.0000 0.0000 0.0000  4 Rh 2.63
Te2 0.0000 0.5000 0.2500  4 Rh 2.63
Te3 0.5000 0.0000 0.7500  4 Rh 2.63
Te4 0.5000 0.5000 0.5000  4 Rh 2.63
Rh1 0.1975 0.2500 0.6250  2 Se 2.38, 2 Te 2.63
Rh2 0.2500 0.6975 0.8750  2 Se 2.38, 2 Te 2.63
Rh3 0.2500 0.8025 0.3750  2 Se 2.38, 2 Te 2.63
Rh4 0.3025 0.2500 0.1250  2 Se 2.38, 2 Te 2.63
Rh5 0.6975 0.7500 0.1250  2 Se 2.38, 2 Te 2.63
Rh6 0.7500 0.1975 0.3750  2 Se 2.38, 2 Te 2.63
Rh7 0.7500 0.3025 0.8750  2 Se 2.38, 2 Te 2.63
Rh8 0.8025 0.7500 0.6250  2 Se 2.38, 2 Te 2.63
Se1 0.0000 0.0000 0.5000  4 Rh 2.38
Se2 0.0000 0.5000 0.7500  4 Rh 2.38
Se3 0.5000 0.0000 0.2500  4 Rh 2.38
Se4 0.5000 0.5000 0.0000  4 Rh 2.38

Calculated values
SG ... I-42d (122)
Formation energy (no corrections) ... -0.127 eV per atom
Energy relative to the lowest polymorph listed for this composition ... 154 meV/atom
Crystal system ... tetragonal
Total magnetization ... 0.00 μB/cell

A plane-wave DFT calculation with PBE was carried out for an optimized crystal structure of AgAsPt2.

Cell: 3.0863 3.6615 5.8413 Å, 90.00 90.00 90.00°
With the nearest neighbours (Å) after each atom.
Positions (direct):
Ag1 0.0000 0.0000 0.0000  8 Pt 2.83, 2 As 2.92, 2 Ag 3.09
As1 0.0000 0.0000 0.5000  8 Pt 2.78, 2 Ag 2.92, 2 As 3.09
Pt1 0.5000 0.5000 0.2593  4 As 2.78, 4 Pt 2.81-3.09, 4 Ag 2.83
Pt2 0.5000 0.5000 0.7407  4 As 2.78, 4 Pt 2.81-3.09, 4 Ag 2.83

Calculated values
SG ... Pmmm (47)
Final energy ... -4.93 eV per atom
Crystal system ... orthorhombic
Total magnetization ... 0.00 μB/cell

A plane-wave DFT calculation with PBE was carried out for an optimized crystal structure of ZrV2Te.

Cell: 4.0251 4.0251 19.2680 Å, 90.00 90.00 90.00°
With the nearest neighbours (Å) after each atom.
Positions (direct):
Zr1 0.0000 0.0000 0.0000  4 V 2.84, 4 Te 2.85
Zr2 0.0000 0.5000 0.2500  4 V 2.84, 4 Te 2.85
Zr3 0.5000 0.0000 0.7500  4 V 2.84, 4 Te 2.85
Zr4 0.5000 0.5000 0.5000  4 V 2.84, 4 Te 2.85
V1 0.2195 0.2500 0.6250  2 V 2.68, 2 Te 2.76, 2 Zr 2.84
V2 0.2500 0.7195 0.8750  2 V 2.68, 2 Te 2.76, 2 Zr 2.84
V3 0.2500 0.7805 0.3750  2 V 2.68, 2 Te 2.76, 2 Zr 2.84
V4 0.2805 0.2500 0.1250  2 V 2.68, 2 Te 2.76, 2 Zr 2.84
V5 0.7195 0.7500 0.1250  2 V 2.68, 2 Te 2.76, 2 Zr 2.84
V6 0.7500 0.2195 0.3750  2 V 2.68, 2 Te 2.76, 2 Zr 2.84
V7 0.7500 0.2805 0.8750  2 V 2.68, 2 Te 2.76, 2 Zr 2.84
V8 0.7805 0.7500 0.6250  2 V 2.68, 2 Te 2.76, 2 Zr 2.84
Te1 0.0000 0.0000 0.5000  4 V 2.76, 4 Zr 2.85
Te2 0.0000 0.5000 0.7500  4 V 2.76, 4 Zr 2.85
Te3 0.5000 0.0000 0.2500  4 V 2.76, 4 Zr 2.85
Te4 0.5000 0.5000 0.0000  4 V 2.76, 4 Zr 2.85

Calculated values
SG ... I-42d (122)
Formation energy (no corrections) ... 0.360 eV per atom
Crystal system ... tetragonal
Total magnetization ... 0.00 μB/cell